(1)
Density functional theory data (PBE) for SrTb2Al9 after structural relaxation.

a = 9.4063 Å, b = 9.4063 Å, c = 9.4063 Å
α = 35.08°, β = 35.08°, γ = 35.08°
Positions (direct):
Sr  0.0000  0.0000  0.0000
Tb  0.1420  0.1420  0.1420
Tb  0.8580  0.8580  0.8580
Al  0.0766  0.5888  0.5888
Al  0.3357  0.3357  0.3357
Al  0.4112  0.4112  0.9234
Al  0.4112  0.9234  0.4112
Al  0.5000  0.5000  0.5000
Al  0.5888  0.0766  0.5888
Al  0.5888  0.5888  0.0766
Al  0.6643  0.6643  0.6643
Al  0.9234  0.4112  0.4112

Calculated values
E_form (eV per atom): -0.336

---

(2)
Density functional theory data (PBE) for MnAgBr2 after structural relaxation.

a = 3.9088 Å, b = 3.9088 Å, c = 13.1517 Å
α = 90.00°, β = 90.00°, γ = 90.00°
Positions (direct):
Mn  0.0000  0.0000  0.0000
Mn  0.5000  0.5000  0.5000
Ag  0.0000  0.5000  0.7500
Ag  0.5000  0.0000  0.2500
Br  0.0000  0.0000  0.5000
Br  0.0000  0.5000  0.2500
Br  0.5000  0.0000  0.7500
Br  0.5000  0.5000  0.0000

Calculated values
Excess energy over the best structure of this formula in the dataset (eV/atom): 0.291
Energy relative to the elements, uncorrected (eV/atom): 0.05